## ScMoOF2 (GGA+U)

Data for a geometry-optimized ScMoOF2 structure.

POSCAR file:
```
ScMoOF2
1.0
4.305 0.000 0.000
0.000 4.305 0.000
0.000 0.000 4.193
Sc Mo O F
1 1 1 2
direct
0.000 0.000 0.000
0.500 0.500 0.500
0.500 0.500 0.000
0.000 0.500 0.500
0.500 0.000 0.500
```

electronic total energy: -5.91 eV per atom
V: 77.7 Å³/cell
density of states at the Fermi level: 0.8130 states/eV/atom